Entry 1:
Sm2Er3Tm4 PBE optimized geometry; DFT formation energy = 0.102 eV per atom
1.0
8.263 -5.749 0.000
8.263 5.749 0.000
-0.730 0.000 5.873
Sm Er Tm
4 6 8
Direct
0.007 0.783 0.721
0.217 0.993 0.779
0.783 0.007 0.221
0.993 0.217 0.279
0.153 0.847 0.250
0.184 0.488 0.413
0.488 0.184 0.913
0.512 0.816 0.087
0.816 0.512 0.587
0.847 0.153 0.750
0.125 0.341 0.873
0.332 0.545 0.955
0.341 0.125 0.373
0.455 0.668 0.545
0.545 0.332 0.455
0.659 0.875 0.627
0.668 0.455 0.045
0.875 0.659 0.127


Entry 2:
Li5As4Pd4 PBE optimized geometry; DFT formation energy = -0.521 eV per atom
1.0
-5.256 5.256 1.965
5.256 -5.256 1.965
5.256 5.256 -1.965
Li As Pd
5 4 4
Direct
0.000 0.000 0.000
0.281 0.646 0.927
0.354 0.281 0.635
0.646 0.719 0.365
0.719 0.354 0.073
0.039 0.761 0.800
0.239 0.039 0.278
0.761 0.961 0.722
0.961 0.239 0.200
0.122 0.421 0.543
0.421 0.878 0.299
0.579 0.122 0.701
0.878 0.579 0.457


Entry 3:
CsTh2C PBE optimized geometry; DFT formation energy = 0.115 eV per atom
1.0
3.731 0.000 0.000
-1.865 3.231 0.000
0.000 0.000 32.420
Cs Th C
3 6 3
Direct
0.000 0.000 0.000
0.333 0.667 0.667
0.667 0.333 0.333
0.000 0.000 0.123
0.000 0.000 0.877
0.333 0.667 0.544
0.333 0.667 0.789
0.667 0.333 0.211
0.667 0.333 0.456
0.000 0.000 0.500
0.333 0.667 0.167
0.667 0.333 0.833


Entry 4:
Rb3Pb2Se4 PBE optimized geometry; E_form (uncorrected) = -0.81 eV per atom
1.0
7.438 -5.877 0.000
7.438 5.877 0.000
-0.114 0.000 8.472
Rb Pb Se
6 4 8
Direct
0.104 0.896 0.750
0.251 0.512 0.509
0.488 0.749 0.991
0.512 0.251 0.009
0.749 0.488 0.491
0.896 0.104 0.250
0.066 0.320 0.900
0.320 0.066 0.400
0.680 0.934 0.600
0.934 0.680 0.100
0.081 0.231 0.571
0.213 0.545 0.936
0.231 0.081 0.071
0.455 0.787 0.564
0.545 0.213 0.436
0.769 0.919 0.929
0.787 0.455 0.064
0.919 0.769 0.429


Entry 5:
CaZrO3 PBE optimized geometry; E_form (uncorrected) = -3.23 eV per atom
1.0
5.827 0.000 0.000
0.000 11.436 0.000
0.000 0.000 8.116
Ca Zr O
8 8 24
Direct
0.212 0.138 0.000
0.246 0.111 0.500
0.254 0.611 0.500
0.288 0.638 0.000
0.712 0.362 0.000
0.746 0.389 0.500
0.754 0.889 0.500
0.788 0.862 0.000
0.243 0.375 0.250
0.243 0.375 0.750
0.257 0.875 0.250
0.257 0.875 0.750
0.743 0.125 0.250
0.743 0.125 0.750
0.757 0.625 0.250
0.757 0.625 0.750
0.000 0.000 0.312
0.000 0.000 0.688
0.000 0.500 0.321
0.000 0.500 0.679
0.023 0.741 0.184
0.023 0.741 0.816
0.231 0.933 0.000
0.247 0.815 0.500
0.253 0.315 0.500
0.269 0.433 0.000
0.477 0.241 0.184
0.477 0.241 0.816
0.500 0.000 0.321
0.500 0.000 0.679
0.500 0.500 0.312
0.500 0.500 0.688
0.523 0.759 0.184
0.523 0.759 0.816
0.731 0.567 0.000
0.747 0.685 0.500
0.753 0.185 0.500
0.769 0.067 0.000
0.977 0.259 0.184
0.977 0.259 0.816


Entry 6:
BeFeCu2 PBE optimized geometry; DFT formation energy = 0.094 eV per atom
1.0
8.813 0.000 0.000
0.000 2.537 0.000
-1.553 0.000 3.910
Be Fe Cu
2 2 4
Direct
0.000 0.000 0.000
0.500 0.500 0.000
0.262 0.000 0.826
0.762 0.500 0.826
0.223 0.500 0.295
0.489 0.000 0.507
0.723 0.000 0.295
0.989 0.500 0.507


Entry 7:
AlMoPdC2 PBE optimized geometry; DFT formation energy = 1.461 eV per atom
1.0
3.999 0.000 0.000
0.000 3.999 0.000
0.000 0.000 5.084
Al Mo Pd C
1 1 1 2
Direct
0.000 0.000 0.000
0.000 0.000 0.500
0.500 0.500 0.000
0.000 0.500 0.500
0.500 0.000 0.500


Entry 8:
TaAgAu2 PBE optimized geometry; DFT formation energy = 0.072 eV per atom
1.0
9.768 0.000 0.000
0.000 2.877 0.000
-0.703 0.000 5.052
Ta Ag Au
2 2 4
Direct
0.000 0.000 0.000
0.500 0.500 0.000
0.250 0.500 0.277
0.750 0.000 0.277
0.003 0.500 0.503
0.256 0.000 0.791
0.503 0.000 0.503
0.756 0.500 0.791


Number 1: raw total energy -4.455 eV/atom, size of the total moment 0.0 μB per cell. Number 2: raw total energy -4.286 eV/atom, size of the total moment 0.0 μB per cell. Number 3: raw total energy -6.114 eV/atom, size of the total moment 0.0 μB per cell. Number 4: raw total energy -3.506 eV/atom, size of the total moment 0.0 μB per cell. Number 5: raw total energy -8.313 eV/atom, size of the total moment 0.0 μB per cell. Number 6: raw total energy -5.002 eV/atom, size of the total moment 4.5 μB per cell. Number 7: raw total energy -6.182 eV/atom, size of the total moment 0.0 μB per cell. Number 8: raw total energy -5.243 eV/atom, size of the total moment 0.0 μB per cell.